This record from the Alexandria database describes a relaxed structure of NdNbNi2O6. The functional is PBE+U.

Unit cell a=5.725 b=5.725 c=5.725 alpha=56.24 beta=56.24 gamma=56.24
Element x y z (fractional)
Nd: 0.000 0.000 0.000
Nb: 0.517 0.517 0.517
Ni: 0.221 0.221 0.221
Ni: 0.722 0.722 0.722
O: 0.134 0.450 0.800
O: 0.369 0.921 0.568
O: 0.450 0.800 0.134
O: 0.568 0.369 0.921
O: 0.800 0.134 0.450
O: 0.921 0.568 0.369

Electronic total energy in eV per atom: -7.13
SG: No. 146